Entry 1:
{
  "formula": "Hf2Zn3Ag",
  "functional": "PBE-GGA",
  "state": "relaxed",
  "formation_energy_ev_per_atom": -0.098,
  "e_tot_ev_per_atom": -4.5198,
  "crystal_system": "tetragonal",
  "total_magnetization_mub_per_cell": 0.01,
  "cell": [[3.100, 0.000, 0.000], [0.000, 3.100, 0.000], [0.000, 0.000, 10.748]],
  "species": ["Hf", "Zn", "Zn", "Ag", "Hf", "Zn"],
  "fractional_positions": [[0.500, 0.500, 0.500], [0.000, 0.000, 0.329], [0.000, 0.000, 0.678], [0.500, 0.500, 0.180], [0.000, 0.000, 0.993], [0.500, 0.500, 0.819]]
}

---

Entry 2:
{
  "formula": "TmPaSi",
  "functional": "PBE-GGA",
  "state": "relaxed",
  "polymorph_energy_mev_per_atom": 0,
  "e_tot_ev_per_atom": -6.5008,
  "crystal_system": "cubic",
  "total_magnetization_mub_per_cell": 1.03,
  "cell": [[0.000, 3.362, 3.362], [3.362, 0.000, 3.362], [3.362, 3.362, 0.000]],
  "species": ["Si", "Tm", "Pa"],
  "fractional_positions": [[0.000, 0.000, 0.000], [0.750, 0.750, 0.750], [0.250, 0.250, 0.250]]
}

---

Entry 3:
{
  "formula": "Nd2Tl2SnS6",
  "functional": "PBE-GGA",
  "state": "relaxed",
  "e_tot_ev_per_atom": -4.9902,
  "crystal_system": "trigonal",
  "total_magnetization_mub_per_cell": 0.00,
  "cell": [[6.973, 0.000, 0.000], [-3.487, 6.039, 0.000], [0.000, 0.000, 7.604]],
  "species": ["Sn", "S", "S", "S", "S", "S", "Nd", "Tl", "S", "Nd", "Tl"],
  "fractional_positions": [[0.000, 0.000, 0.000], [0.322, 0.025, 0.197], [0.296, 0.322, 0.803], [0.025, 0.704, 0.803], [0.975, 0.296, 0.197], [0.678, 0.975, 0.803], [0.667, 0.333, 0.965], [0.667, 0.333, 0.474], [0.704, 0.678, 0.197], [0.333, 0.667, 0.035], [0.333, 0.667, 0.526]]
}

---

Entry 4:
{
  "formula": "Li2Zr2In2NiPd",
  "functional": "PBE-GGA",
  "state": "relaxed",
  "e_tot_ev_per_atom": -5.1276,
  "crystal_system": "tetragonal",
  "total_magnetization_mub_per_cell": 0.00,
  "cell": [[-1.477, 2.055, -3.772], [-4.194, -1.553, 0.795], [-1.324, 5.325, 3.419]],
  "species": ["In", "Ni", "Li", "In", "Zr", "Li", "Pd", "Zr"],
  "fractional_positions": [[0.500, 0.000, 0.245], [0.000, 0.000, 0.000], [0.500, 0.500, 0.000], [0.000, 0.500, 0.755], [0.500, 0.000, 0.760], [0.000, 0.000, 0.500], [0.500, 0.500, 0.500], [0.000, 0.500, 0.240]]
}

---

Entry 5:
{
  "formula": "TbGdB",
  "functional": "PBE-GGA",
  "state": "relaxed",
  "e_tot_ev_per_atom": -5.2210,
  "crystal_system": "cubic",
  "total_magnetization_mub_per_cell": 0.02,
  "cell": [[-2.197, -1.250, 3.789], [-4.547, -0.275, 0.011], [-2.035, -4.069, 0.215]],
  "species": ["Tb", "B", "Gd"],
  "fractional_positions": [[0.750, 0.750, 0.750], [0.000, 0.000, 0.000], [0.250, 0.250, 0.250]]
}

---

Entry 6:
{
  "formula": "PrTmNO",
  "functional": "PBE-GGA",
  "state": "relaxed",
  "polymorph_energy_mev_per_atom": 333,
  "e_tot_ev_per_atom": -7.4459,
  "crystal_system": "tetragonal",
  "total_magnetization_mub_per_cell": 0.02,
  "cell": [[4.406, 0.000, 0.000], [0.000, 4.406, 0.000], [0.000, 0.000, 8.582]],
  "species": ["O", "O", "Pr", "N", "Tm", "Pr", "N", "Tm"],
  "fractional_positions": [[0.250, 0.750, 0.000], [0.750, 0.250, 0.000], [0.250, 0.250, 0.112], [0.250, 0.250, 0.557], [0.250, 0.750, 0.500], [0.750, 0.750, 0.888], [0.750, 0.750, 0.443], [0.750, 0.250, 0.500]]
}